Ta2SiNi3 at its PBEsol-relaxed geometry, computed with meta-GGA SCAN.

Lattice parameters (Å, degrees): 4.800 4.800 7.589 90.00 90.00 120.00
Fractional coordinates of all 12 atoms:
Ta 0.333 0.667 0.057
Ta 0.333 0.667 0.443
Ta 0.667 0.333 0.557
Ta 0.667 0.333 0.943
Si 0.000 0.000 0.000
Si 0.000 0.000 0.500
Ni 0.169 0.338 0.750
Ni 0.169 0.831 0.750
Ni 0.338 0.169 0.250
Ni 0.662 0.831 0.750
Ni 0.831 0.169 0.250
Ni 0.831 0.662 0.250

Results
Uncorrected formation energy, eV per atom: -0.488

Ta2SiNi at its PBEsol-relaxed geometry, computed with meta-GGA SCAN.

Lattice parameters (Å, degrees): 3.583 3.387 9.601 90.00 90.00 90.00
Fractional coordinates of all 8 atoms:
Ta 0.000 0.000 0.000
Ta 0.000 0.500 0.500
Ta 0.500 0.000 0.314
Ta 0.500 0.500 0.814
Si 0.500 0.000 0.589
Si 0.500 0.500 0.089
Ni 0.000 0.000 0.730
Ni 0.000 0.500 0.230

Results
Uncorrected formation energy, eV per atom: -0.486

TaSi2Ni at its PBEsol-relaxed geometry, computed with meta-GGA SCAN.

Lattice parameters (Å, degrees): 3.870 3.870 3.509 90.00 90.00 90.00
Fractional coordinates of all 4 atoms:
Ta 0.000 0.000 0.000
Si 0.000 0.500 0.500
Si 0.500 0.000 0.500
Ni 0.500 0.500 0.000

Results
Uncorrected formation energy, eV per atom: -0.217

Ta2SiNi at its PBEsol-relaxed geometry, computed with meta-GGA SCAN.

Lattice parameters (Å, degrees): 3.311 3.311 5.442 90.00 90.00 90.00
Fractional coordinates of all 4 atoms:
Ta 0.000 0.000 0.000
Ta 0.500 0.500 0.285
Si 0.500 0.500 0.767
Ni 0.000 0.000 0.523

Results
Uncorrected formation energy, eV per atom: -0.124

TaSi2Ni at its PBEsol-relaxed geometry, computed with meta-GGA SCAN.

Lattice parameters (Å, degrees): 6.485 6.485 5.403 90.00 90.00 90.00
Fractional coordinates of all 16 atoms:
Ta 0.000 0.000 0.000
Ta 0.000 0.500 0.250
Ta 0.500 0.000 0.750
Ta 0.500 0.500 0.500
Si 0.203 0.250 0.625
Si 0.250 0.703 0.875
Si 0.250 0.797 0.375
Si 0.297 0.250 0.125
Si 0.703 0.750 0.125
Si 0.750 0.203 0.375
Si 0.750 0.297 0.875
Si 0.797 0.750 0.625
Ni 0.000 0.000 0.500
Ni 0.000 0.500 0.750
Ni 0.500 0.000 0.250
Ni 0.500 0.500 0.000

Results
Uncorrected formation energy, eV per atom: 0.001

Ta2SiNi at its PBEsol-relaxed geometry, computed with meta-GGA SCAN.

Lattice parameters (Å, degrees): 3.901 3.933 7.529 90.00 90.00 90.00
Fractional coordinates of all 8 atoms:
Ta 0.000 0.000 0.250
Ta 0.000 0.000 0.750
Ta 0.500 0.500 0.250
Ta 0.500 0.500 0.750
Si 0.000 0.500 0.000
Si 0.500 0.000 0.500
Ni 0.000 0.500 0.500
Ni 0.500 0.000 0.000

Results
Uncorrected formation energy, eV per atom: -0.308

TaSi2Ni at its PBEsol-relaxed geometry, computed with meta-GGA SCAN.

Lattice parameters (Å, degrees): 2.711 4.253 4.690 90.00 90.00 90.00
Fractional coordinates of all 4 atoms:
Ta 0.000 0.000 0.000
Si 0.500 0.000 0.505
Si 0.500 0.500 0.222
Ni 0.500 0.500 0.729

Results
Uncorrected formation energy, eV per atom: -0.224

Ta2SiNi at its PBEsol-relaxed geometry, computed with meta-GGA SCAN.

Lattice parameters (Å, degrees): 3.723 4.171 7.438 90.00 90.00 90.00
Fractional coordinates of all 8 atoms:
Ta 0.000 0.000 0.247
Ta 0.000 0.000 0.753
Ta 0.500 0.500 0.247
Ta 0.500 0.500 0.753
Si 0.000 0.500 0.500
Si 0.500 0.000 0.500
Ni 0.000 0.500 0.000
Ni 0.500 0.000 0.000

Results
Uncorrected formation energy, eV per atom: -0.203

TbSiNi at its PBEsol-relaxed geometry, computed with meta-GGA SCAN.

Lattice parameters (Å, degrees): 6.838 4.135 7.021 90.00 90.00 90.00
Fractional coordinates of all 12 atoms:
Tb 0.012 0.250 0.197
Tb 0.488 0.750 0.697
Tb 0.512 0.250 0.303
Tb 0.988 0.750 0.803
Si 0.187 0.250 0.589
Si 0.313 0.750 0.089
Si 0.687 0.250 0.911
Si 0.813 0.750 0.411
Ni 0.184 0.750 0.417
Ni 0.316 0.250 0.917
Ni 0.684 0.750 0.083
Ni 0.816 0.250 0.583

Results
Uncorrected formation energy, eV per atom: -0.822

Tb2Si5Ni3 at its PBEsol-relaxed geometry, computed with meta-GGA SCAN.

Lattice parameters (Å, degrees): 7.794 7.794 7.794 105.12 89.90 137.82
Fractional coordinates of all 20 atoms:
Tb 0.132 0.236 0.368
Tb 0.368 0.736 0.105
Tb 0.632 0.264 0.895
Tb 0.868 0.764 0.632
Si 0.016 0.750 0.266
Si 0.107 0.653 0.759
Si 0.250 0.250 0.000
Si 0.393 0.153 0.546
Si 0.484 0.750 0.734
Si 0.516 0.250 0.266
Si 0.607 0.847 0.454
Si 0.750 0.750 0.000
Si 0.893 0.347 0.241
Si 0.984 0.250 0.734
Ni 0.134 0.888 0.022
Ni 0.250 0.750 0.500
Ni 0.366 0.388 0.754
Ni 0.634 0.612 0.246
Ni 0.750 0.250 0.500
Ni 0.866 0.112 0.978

Results
Uncorrected formation energy, eV per atom: -0.828

TbSi3Ni8 at its PBEsol-relaxed geometry, computed with meta-GGA SCAN.

Lattice parameters (Å, degrees): 7.430 7.430 7.394 99.69 99.69 130.37
Fractional coordinates of all 24 atoms:
Tb 0.132 0.868 0.750
Tb 0.868 0.132 0.250
Si 0.000 0.500 0.000
Si 0.223 0.314 0.675
Si 0.314 0.223 0.175
Si 0.500 0.000 0.500
Si 0.686 0.777 0.825
Si 0.777 0.686 0.325
Ni 0.061 0.211 0.931
Ni 0.067 0.648 0.329
Ni 0.211 0.061 0.431
Ni 0.301 0.637 0.579
Ni 0.352 0.933 0.171
Ni 0.363 0.699 0.921
Ni 0.377 0.623 0.250
Ni 0.500 0.500 0.000
Ni 0.500 0.500 0.500
Ni 0.623 0.377 0.750
Ni 0.637 0.301 0.079
Ni 0.648 0.067 0.829
Ni 0.699 0.363 0.421
Ni 0.789 0.939 0.569
Ni 0.933 0.352 0.671
Ni 0.939 0.789 0.069

Results
Uncorrected formation energy, eV per atom: -0.589

TbSi2Ni10 at its PBEsol-relaxed geometry, computed with meta-GGA SCAN.

Lattice parameters (Å, degrees): 8.067 8.067 4.615 90.00 90.00 90.00
Fractional coordinates of all 26 atoms:
Tb 0.250 0.250 0.220
Tb 0.750 0.750 0.780
Si 0.000 0.000 0.500
Si 0.000 0.500 0.500
Si 0.500 0.000 0.500
Si 0.500 0.500 0.500
Ni 0.000 0.000 0.000
Ni 0.000 0.500 0.000
Ni 0.026 0.250 0.730
Ni 0.103 0.750 0.762
Ni 0.250 0.026 0.730
Ni 0.250 0.474 0.730
Ni 0.250 0.603 0.238
Ni 0.250 0.897 0.238
Ni 0.397 0.750 0.762
Ni 0.474 0.250 0.730
Ni 0.500 0.000 0.000
Ni 0.500 0.500 0.000
Ni 0.526 0.750 0.270
Ni 0.603 0.250 0.238
Ni 0.750 0.103 0.762
Ni 0.750 0.397 0.762
Ni 0.750 0.526 0.270
Ni 0.750 0.974 0.270
Ni 0.897 0.250 0.238
Ni 0.974 0.750 0.270

Results
Uncorrected formation energy, eV per atom: -0.426